Material: NbInCuNi
Method: DFT, PBE
State: relaxed

Unit cell a=4.4244 b=4.4244 c=4.4244 alpha=60.00 beta=60.00 gamma=60.00
Positions (direct):
1 Nb 0.0000 0.0000 0.0000
2 In 0.5000 0.5000 0.5000
3 Cu 0.7500 0.7500 0.7500
4 Ni 0.2500 0.2500 0.2500

Summary:
Energy relative to the elements = -0.2 eV/f.u.
Crystal system = cubic
DOS at the Fermi energy = 2.383 states/eV/f.u.
Electronic total energy = -5.72 eV/atom
Density = 8.947 g/cm3

---

Material: Sc2VCr2
Method: DFT, PBE
State: relaxed

Unit cell a=5.9814 b=5.9814 c=4.6717 alpha=90.00 beta=90.00 gamma=90.00
Positions (direct):
1 Sc 0.1740 0.3260 0.0000
2 Sc 0.3260 0.8260 0.0000
3 Sc 0.6740 0.1740 0.0000
4 Sc 0.8260 0.6740 0.0000
5 V 0.0000 0.0000 0.5000
6 V 0.5000 0.5000 0.5000
7 Cr 0.1333 0.6333 0.5000
8 Cr 0.3667 0.1333 0.5000
9 Cr 0.6333 0.8667 0.5000
10 Cr 0.8667 0.3667 0.5000

Summary:
Energy relative to the elements = 1.4 eV/f.u.
Crystal system = tetragonal
DOS at the Fermi energy = 5.524 states/eV/f.u.
Electronic total energy = -7.93 eV/atom
Density = 4.865 g/cm3
Energy above the lowest structure with this stoichiometry = 0 meV/atom

---

Material: CdMo3S
Method: DFT, PBE
State: relaxed

Unit cell a=4.4594 b=4.4594 c=4.4594 alpha=90.00 beta=90.00 gamma=90.00
Positions (direct):
1 Cd 0.0000 0.0000 0.0000
2 Mo 0.0000 0.5000 0.5000
3 Mo 0.5000 0.0000 0.5000
4 Mo 0.5000 0.5000 0.0000
5 S 0.5000 0.5000 0.5000

Summary:
Formation energy from raw total energies = 2.24 eV per formula unit
Crystal system = cubic
DOS at the Fermi energy = 3.250 states/eV/f.u.
Electronic total energy = -7.06 eV/atom
Density = 8.095 g/cm3
Energy above the lowest structure with this stoichiometry = 0 meV/atom

---

Material: InCoRe2
Method: DFT, PBE
State: relaxed

Unit cell a=4.9440 b=4.9440 c=4.9440 alpha=140.29 beta=127.32 gamma=67.94
Positions (direct):
1 In 0.0000 0.0000 0.0000
2 Co 0.2431 0.7431 0.5000
3 Re 0.4820 0.4820 0.0000
4 Re 0.7289 0.2289 0.5000

Summary:
Energy relative to the elements = 1.9 eV/f.u.
Crystal system = orthorhombic
DOS at the Fermi energy = 4.952 states/eV/f.u.
Electronic total energy = -8.20 eV/atom
Density = 15.011 g/cm3